[1]
Ba2Ag5Hg5 after structural relaxation. Source: the Alexandria database, functional PBE-GGA.

a b c (Å): 4.7997 6.0255 10.7441
angles (deg): 90.00 90.00 90.00
With the nearest neighbours (Å) after each atom.
Atoms (fractional coordinates):
Ba  0.0000  0.0000  0.0000  10 Hg 3.58-3.85, 8 Ag 3.96
Ba  0.0000  0.5000  0.5000  6 Hg 3.44-3.50, 8 Ag 3.85
Ag  0.5000  0.0000  0.5000  4 Hg 2.99, 4 Ag 3.00
Ag  0.5000  0.2485  0.2584  5 Hg 2.94-3.16, 3 Ag 2.99-3.03
Ag  0.5000  0.2485  0.7416  5 Hg 2.94-3.16, 3 Ag 2.99-3.03
Ag  0.5000  0.7515  0.2584  5 Hg 2.94-3.16, 3 Ag 2.99-3.03
Ag  0.5000  0.7515  0.7416  5 Hg 2.94-3.16, 3 Ag 2.99-3.03
Hg  0.0000  0.0000  0.3337  6 Ag 2.94-2.99
Hg  0.0000  0.0000  0.6663  6 Ag 2.94-2.99
Hg  0.0000  0.5000  0.1800  4 Ag 2.96, 2 Hg 3.08
Hg  0.0000  0.5000  0.8200  4 Ag 2.96, 2 Hg 3.08
Hg  0.5000  0.5000  0.0000  4 Hg 3.08, 4 Ag 3.16

## Properties
DFT total energy in eV per atom: -1.858
SG: Pmmm, No. 47
ΔH_f (0 K) in eV per formula unit: -2.68

=====

[2]
RbPrMoN3 after structural relaxation. Source: the Alexandria database, functional PBE-GGA.

a b c (Å): 7.2910 7.2910 8.3989
angles (deg): 104.38 104.38 31.42
With the nearest neighbours (Å) after each atom.
Atoms (fractional coordinates):
Rb  0.1413  0.1413  0.0671  6 N 3.08-3.35
Rb  0.8587  0.8587  0.9329  6 N 3.08-3.35
Pr  0.1626  0.1626  0.5915  7 N 2.48-2.73
Pr  0.8374  0.8374  0.4085  7 N 2.48-2.73
Mo  0.4914  0.4914  0.6685  4 N 1.90-2.01
Mo  0.5086  0.5086  0.3315  4 N 1.90-2.01
N  0.0129  0.0129  0.3527  2 Mo 1.98
N  0.3446  0.3446  0.6358  1 Mo 2.01
N  0.3724  0.3724  0.2191  1 Mo 1.90
N  0.6276  0.6276  0.7809  1 Mo 1.90
N  0.6554  0.6554  0.3642  1 Mo 2.01
N  0.9871  0.9871  0.6473  2 Mo 1.98

## Properties
DFT total energy in eV per atom: -7.386
SG: C2/m, No. 12

=====

[3]
MnTl2Fe after structural relaxation. Source: the Alexandria database, functional PBE-GGA.

a b c (Å): 6.7850 6.7850 6.7850
angles (deg): 90.00 90.00 90.00
With the nearest neighbours (Å) after each atom.
Atoms (fractional coordinates):
Mn  0.0000  0.0000  0.0000  4 Fe 2.94, 4 Tl 2.94
Mn  0.0000  0.5000  0.5000  4 Fe 2.94, 4 Tl 2.94
Mn  0.5000  0.0000  0.5000  4 Fe 2.94, 4 Tl 2.94
Mn  0.5000  0.5000  0.0000  4 Fe 2.94, 4 Tl 2.94
Tl  0.0000  0.0000  0.5000  4 Tl 2.94, 4 Fe 2.94
Tl  0.0000  0.5000  0.0000  4 Tl 2.94, 4 Fe 2.94
Tl  0.2500  0.2500  0.2500  4 Tl 2.94, 4 Mn 2.94
Tl  0.2500  0.7500  0.7500  4 Tl 2.94, 4 Mn 2.94
Tl  0.5000  0.0000  0.0000  4 Tl 2.94, 4 Fe 2.94
Tl  0.5000  0.5000  0.5000  4 Tl 2.94, 4 Fe 2.94
Tl  0.7500  0.2500  0.7500  4 Tl 2.94, 4 Mn 2.94
Tl  0.7500  0.7500  0.2500  4 Tl 2.94, 4 Mn 2.94
Fe  0.2500  0.2500  0.7500  4 Tl 2.94, 4 Mn 2.94
Fe  0.2500  0.7500  0.2500  4 Tl 2.94, 4 Mn 2.94
Fe  0.7500  0.2500  0.2500  4 Tl 2.94, 4 Mn 2.94
Fe  0.7500  0.7500  0.7500  4 Tl 2.94, 4 Mn 2.94

## Properties
DFT total energy in eV per atom: -4.809
Distance to the lowest polymorph of the same formula in eV per atom: 0.3039
SG: F-43m, No. 216
ΔH_f (0 K) in eV per formula unit: 3.13

=====

[4]
Tm5Zr after structural relaxation. Source: the Alexandria database, functional PBE-GGA.

a b c (Å): 10.8720 4.8009 6.9060
angles (deg): 90.00 108.43 90.00
With the nearest neighbours (Å) after each atom.
Atoms (fractional coordinates):
Tm  0.0000  0.0000  0.0000  10 Tm 3.41-3.51, 2 Zr 3.45
Tm  0.1599  0.5000  0.8217  10 Tm 3.35-3.56, 2 Zr 3.36
Tm  0.1663  0.5000  0.3398  9 Tm 3.35-3.56, 3 Zr 3.39-3.44
Tm  0.3337  0.0000  0.6602  9 Tm 3.35-3.56, 3 Zr 3.39-3.44
Tm  0.3401  0.0000  0.1783  10 Tm 3.35-3.56, 2 Zr 3.36
Tm  0.5000  0.5000  0.0000  10 Tm 3.41-3.51, 2 Zr 3.45
Tm  0.6599  0.0000  0.8217  10 Tm 3.35-3.56, 2 Zr 3.36
Tm  0.6663  0.0000  0.3398  9 Tm 3.35-3.56, 3 Zr 3.39-3.44
Tm  0.8337  0.5000  0.6602  9 Tm 3.35-3.56, 3 Zr 3.39-3.44
Tm  0.8401  0.5000  0.1783  10 Tm 3.35-3.56, 2 Zr 3.36
Zr  0.0000  0.0000  0.5000  12 Tm 3.36-3.45
Zr  0.5000  0.5000  0.5000  12 Tm 3.36-3.45

## Properties
DFT total energy in eV per atom: -5.098
Distance to the lowest polymorph of the same formula in eV per atom: 0.0025
SG: C2/m, No. 12
ΔH_f (0 K) in eV per formula unit: 0.32

=====

[5]
CePmAu after structural relaxation. Source: the Alexandria database, functional PBE-GGA.

a b c (Å): 7.2500 4.1951 11.7711
angles (deg): 90.00 101.82 90.00
With the nearest neighbours (Å) after each atom.
Atoms (fractional coordinates):
Ce  0.1469  0.0000  0.4394  3 Ce 2.79-2.80, 3 Au 3.08-3.09
Ce  0.3531  0.5000  0.5606  3 Ce 2.79-2.80, 3 Au 3.08-3.09
Ce  0.6469  0.5000  0.4394  3 Ce 2.79-2.80, 3 Au 3.08-3.09
Ce  0.8531  0.0000  0.5606  3 Ce 2.79-2.80, 3 Au 3.08-3.09
Pm  0.1247  0.5000  0.8731  3 Au 2.95
Pm  0.3753  0.0000  0.1269  3 Au 2.95
Pm  0.6247  0.0000  0.8731  3 Au 2.95
Pm  0.8753  0.5000  0.1269  3 Au 2.95
Au  0.2427  0.0000  0.7267  3 Pm 2.95, 3 Ce 3.08-3.09
Au  0.2573  0.5000  0.2733  3 Pm 2.95, 3 Ce 3.08-3.09
Au  0.7427  0.5000  0.7267  3 Pm 2.95, 3 Ce 3.08-3.09
Au  0.7573  0.0000  0.2733  3 Pm 2.95, 3 Ce 3.08-3.09

## Properties
DFT total energy in eV per atom: -4.992
Distance to the lowest polymorph of the same formula in eV per atom: 0.1353
SG: C2/m, No. 12
ΔH_f (0 K) in eV per formula unit: -1.01

=====

[6]
Mn2ReCl after structural relaxation. Source: the Alexandria database, functional PBE-GGA.

a b c (Å): 2.8612 2.8612 24.6760
angles (deg): 90.00 90.00 120.00
With the nearest neighbours (Å) after each atom.
Atoms (fractional coordinates):
Mn  0.0000  0.0000  0.0000  3 Re 2.48, 3 Mn 2.59
Mn  0.0000  0.0000  0.2522  3 Cl 2.42, 3 Mn 2.59
Mn  0.3333  0.6667  0.6667  3 Re 2.48, 3 Mn 2.59
Mn  0.3333  0.6667  0.9189  3 Cl 2.42, 3 Mn 2.59
Mn  0.6667  0.3333  0.3333  3 Re 2.48, 3 Mn 2.59
Mn  0.6667  0.3333  0.5856  3 Cl 2.42, 3 Mn 2.59
Re  0.0000  0.0000  0.7418  3 Mn 2.48
Re  0.3333  0.6667  0.4085  3 Mn 2.48
Re  0.6667  0.3333  0.0752  3 Mn 2.48
Cl  0.0000  0.0000  0.5138  3 Mn 2.42
Cl  0.3333  0.6667  0.1804  3 Mn 2.42
Cl  0.6667  0.3333  0.8471  3 Mn 2.42

## Properties
DFT total energy in eV per atom: -7.800
Distance to the lowest polymorph of the same formula in eV per atom: 0.2589
SG: R3m, No. 160

=====

Which of these has the highest DFT total energy?
Ba2Ag5Hg5

=====

Which value of DFT total energy does entry 1 give?
-1.858 eV per atom

=====

Number 2 is which compound?
RbPrMoN3

=====

DFT total energy of number 4 (Tm5Zr)?
-5.098 eV per atom